Material: La3Tb5Dy
Method: DFT, GGA-PBE
State: optimized geometry

Properties
E_tot (eV/atom): -4.303
SG: C2/m (12)

```
data_La3Tb5Dy
_chemical_formula_sum 'La6 Tb10 Dy2'
_symmetry_space_group_name_H-M 'P 1'
_symmetry_Int_Tables_number 1
_cell_length_a 7.469
_cell_length_b 7.469
_cell_length_c 12.758
_cell_angle_alpha 81.61
_cell_angle_beta 81.61
_cell_angle_gamma 67.32
loop_
_symmetry_equiv_pos_as_xyz
'x,y,z'
loop_
_atom_site_label
_atom_site_fract_x
_atom_site_fract_y
_atom_site_fract_z
Tb1 0.259 0.259 0.976
Tb2 0.680 0.320 0.000
Tb3 0.328 0.934 0.220
Tb4 0.554 0.554 0.376
Tb5 0.066 0.672 0.780
Tb6 0.741 0.741 0.024
Tb7 0.446 0.446 0.624
Tb8 0.934 0.328 0.220
Tb9 0.320 0.680 0.000
Tb10 0.672 0.066 0.780
La1 0.000 0.000 0.500
La2 0.379 0.379 0.216
La3 0.000 0.000 0.000
La4 0.621 0.621 0.784
La5 0.732 0.732 0.532
La6 0.268 0.268 0.468
Dy1 0.141 0.141 0.739
Dy2 0.859 0.859 0.261
```

Material: LaTb2Dy6
Method: DFT, GGA-PBE
State: optimized geometry

Properties
Energy above the most stable polymorph in this dataset (eV/atom): 0.179
SG: C2/m (12)

```
data_LaTb2Dy6
_chemical_formula_sum 'La1 Tb2 Dy6'
_symmetry_space_group_name_H-M 'P 1'
_symmetry_Int_Tables_number 1
_cell_length_a 3.434
_cell_length_b 6.039
_cell_length_c 17.441
_cell_angle_alpha 116.52
_cell_angle_beta 84.35
_cell_angle_gamma 73.48
loop_
_symmetry_equiv_pos_as_xyz
'x,y,z'
loop_
_atom_site_label
_atom_site_fract_x
_atom_site_fract_y
_atom_site_fract_z
La1 0.500 0.500 0.500
Dy1 0.773 0.188 0.267
Dy2 0.436 0.190 0.938
Dy3 0.227 0.812 0.733
Dy4 0.899 0.809 0.394
Dy5 0.564 0.810 0.062
Dy6 0.101 0.191 0.606
Tb1 0.835 0.497 0.834
Tb2 0.165 0.503 0.166
```

Material: La5Tb3Dy
Method: DFT, GGA-PBE
State: optimized geometry

Properties
Energy above the most stable polymorph in this dataset (eV/atom): 0.053
SG: I4/mcm (140)

```
data_La5Tb3Dy
_chemical_formula_sum 'La10 Tb6 Dy2'
_symmetry_space_group_name_H-M 'P 1'
_symmetry_Int_Tables_number 1
_cell_length_a 9.441
_cell_length_b 9.441
_cell_length_c 9.829
_cell_angle_alpha 118.70
_cell_angle_beta 118.70
_cell_angle_gamma 90.00
loop_
_symmetry_equiv_pos_as_xyz
'x,y,z'
loop_
_atom_site_label
_atom_site_fract_x
_atom_site_fract_y
_atom_site_fract_z
Dy1 0.250 0.750 0.500
Dy2 0.750 0.250 0.500
La1 0.066 0.566 0.730
La2 0.000 0.000 0.000
La3 0.164 0.066 0.730
La4 0.500 0.500 0.000
La5 0.836 0.934 0.270
La6 0.434 0.336 0.270
La7 0.934 0.434 0.270
La8 0.664 0.164 0.730
La9 0.336 0.836 0.270
La10 0.566 0.664 0.730
Tb1 0.750 0.750 0.500
Tb2 0.109 0.391 0.000
Tb3 0.609 0.109 0.000
Tb4 0.891 0.609 0.000
Tb5 0.391 0.891 0.000
Tb6 0.250 0.250 0.500
```

Material: LaTbDy2
Method: DFT, GGA-PBE
State: optimized geometry

Properties
Energy above the most stable polymorph in this dataset (eV/atom): 0.010
SG: P4/mmm (123)

```
data_LaTbDy2
_chemical_formula_sum 'La1 Tb1 Dy2'
_symmetry_space_group_name_H-M 'P 1'
_symmetry_Int_Tables_number 1
_cell_length_a 5.084
_cell_length_b 5.099
_cell_length_c 5.099
_cell_angle_alpha 90.00
_cell_angle_beta 90.00
_cell_angle_gamma 90.00
loop_
_symmetry_equiv_pos_as_xyz
'x,y,z'
loop_
_atom_site_label
_atom_site_fract_x
_atom_site_fract_y
_atom_site_fract_z
Tb1 0.500 0.500 0.500
Dy1 0.000 0.500 0.000
Dy2 0.000 0.000 0.500
La1 0.500 0.000 0.000
```

Material: La8Tb2Dy
Method: DFT, GGA-PBE
State: optimized geometry

Properties
Energy above the most stable polymorph in this dataset (eV/atom): 0.105
SG: C2/m (12)

```
data_La8Tb2Dy
_chemical_formula_sum 'La8 Tb2 Dy1'
_symmetry_space_group_name_H-M 'P 1'
_symmetry_Int_Tables_number 1
_cell_length_a 6.083
_cell_length_b 9.619
_cell_length_c 9.619
_cell_angle_alpha 122.35
_cell_angle_beta 105.61
_cell_angle_gamma 105.61
loop_
_symmetry_equiv_pos_as_xyz
'x,y,z'
loop_
_atom_site_label
_atom_site_fract_x
_atom_site_fract_y
_atom_site_fract_z
Tb1 0.000 0.311 0.689
Tb2 0.000 0.689 0.311
La1 0.702 0.420 0.420
La2 0.298 0.580 0.580
La3 0.183 0.096 0.333
La4 0.500 0.205 0.795
La5 0.817 0.667 0.904
La6 0.500 0.795 0.205
La7 0.183 0.333 0.096
La8 0.817 0.904 0.667
Dy1 0.500 0.000 0.000
```

Material: La11Tb4Dy9
Method: DFT, GGA-PBE
State: optimized geometry

Properties
E_tot (eV/atom): -4.688
SG: Cmmm (65)

```
data_La11Tb4Dy9
_chemical_formula_sum 'La11 Tb4 Dy9'
_symmetry_space_group_name_H-M 'P 1'
_symmetry_Int_Tables_number 1
_cell_length_a 3.712
_cell_length_b 15.587
_cell_length_c 15.587
_cell_angle_alpha 112.99
_cell_angle_beta 90.00
_cell_angle_gamma 90.00
loop_
_symmetry_equiv_pos_as_xyz
'x,y,z'
loop_
_atom_site_label
_atom_site_fract_x
_atom_site_fract_y
_atom_site_fract_z
Dy1 0.500 0.500 0.500
Dy2 0.500 0.787 0.932
Dy3 0.500 0.166 0.632
Dy4 0.500 0.068 0.213
Dy5 0.500 0.834 0.368
Dy6 0.500 0.368 0.834
Dy7 0.500 0.213 0.068
Dy8 0.500 0.932 0.787
Dy9 0.500 0.632 0.166
La1 0.000 0.595 0.957
La2 0.000 0.000 0.000
La3 0.000 0.632 0.368
La4 0.000 0.405 0.043
La5 0.000 0.160 0.840
La6 0.000 0.292 0.292
La7 0.000 0.957 0.595
La8 0.000 0.043 0.405
La9 0.000 0.368 0.632
La10 0.000 0.708 0.708
La11 0.000 0.840 0.160
Tb1 0.500 0.759 0.555
Tb2 0.500 0.555 0.759
Tb3 0.500 0.241 0.445
Tb4 0.500 0.445 0.241
```

Material: LaTbDy
Method: DFT, GGA-PBE
State: optimized geometry

Properties
Energy above the most stable polymorph in this dataset (eV/atom): 0.008
SG: I4mm (107)

```
data_LaTbDy
_chemical_formula_sum 'La1 Tb1 Dy1'
_symmetry_space_group_name_H-M 'P 1'
_symmetry_Int_Tables_number 1
_cell_length_a 3.631
_cell_length_b 3.631
_cell_length_c 8.062
_cell_angle_alpha 103.01
_cell_angle_beta 103.01
_cell_angle_gamma 90.00
loop_
_symmetry_equiv_pos_as_xyz
'x,y,z'
loop_
_atom_site_label
_atom_site_fract_x
_atom_site_fract_y
_atom_site_fract_z
La1 0.333 0.333 0.666
Dy1 0.664 0.664 0.327
Tb1 0.003 0.003 0.006
```

Material: La7Tb2Dy2
Method: DFT, GGA-PBE
State: optimized geometry

Properties
Energy above the most stable polymorph in this dataset (eV/atom): 0.179
SG: Cmmm (65)

```
data_La7Tb2Dy2
_chemical_formula_sum 'La7 Tb2 Dy2'
_symmetry_space_group_name_H-M 'P 1'
_symmetry_Int_Tables_number 1
_cell_length_a 9.781
_cell_length_b 6.970
_cell_length_c 6.970
_cell_angle_alpha 121.84
_cell_angle_beta 90.00
_cell_angle_gamma 90.00
loop_
_symmetry_equiv_pos_as_xyz
'x,y,z'
loop_
_atom_site_label
_atom_site_fract_x
_atom_site_fract_y
_atom_site_fract_z
Tb1 0.000 0.732 0.268
Tb2 0.000 0.268 0.732
La1 0.000 0.000 0.000
La2 0.826 0.500 0.500
La3 0.319 0.500 0.000
La4 0.319 0.000 0.500
La5 0.681 0.000 0.500
La6 0.681 0.500 0.000
La7 0.174 0.500 0.500
Dy1 0.500 0.252 0.252
Dy2 0.500 0.748 0.748
```

Material: La9Tb4Dy
Method: DFT, GGA-PBE
State: optimized geometry

Properties
E_tot (eV/atom): -4.676
SG: P6_3/mmc (194)

```
data_La9Tb4Dy
_chemical_formula_sum 'La18 Tb8 Dy2'
_symmetry_space_group_name_H-M 'P 1'
_symmetry_Int_Tables_number 1
_cell_length_a 11.559
_cell_length_b 10.047
_cell_length_c 10.047
_cell_angle_alpha 120.00
_cell_angle_beta 90.00
_cell_angle_gamma 90.00
loop_
_symmetry_equiv_pos_as_xyz
'x,y,z'
loop_
_atom_site_label
_atom_site_fract_x
_atom_site_fract_y
_atom_site_fract_z
Tb1 0.750 0.220 0.110
Tb2 0.250 0.110 0.890
Tb3 0.750 0.890 0.110
Tb4 0.250 0.780 0.890
Tb5 0.250 0.110 0.220
Tb6 0.750 0.890 0.780
Tb7 0.500 0.000 0.000
Tb8 0.000 0.000 0.000
La1 0.250 0.461 0.921
La2 0.470 0.793 0.207
La3 0.970 0.586 0.793
La4 0.530 0.207 0.793
La5 0.530 0.586 0.793
La6 0.750 0.921 0.461
La7 0.530 0.207 0.414
La8 0.970 0.207 0.793
La9 0.030 0.793 0.207
La10 0.750 0.539 0.079
La11 0.470 0.793 0.586
La12 0.250 0.461 0.539
La13 0.250 0.079 0.539
La14 0.030 0.414 0.207
La15 0.470 0.414 0.207
La16 0.030 0.793 0.586
La17 0.750 0.539 0.461
La18 0.970 0.207 0.414
Dy1 0.250 0.667 0.333
Dy2 0.750 0.333 0.667
```

Computed DOS(E_F), in the same sequence as the records: 30.4, 20.7, 31.9, 6.7, 15.5, 35.2, 4.3, 17.5, 45.6 states/eV/cell.